[1]
The following is a PBE-GGA calculation of a relaxed structure of CsBi3Au3, from the Alexandria database.

Output
* theoretical density: 9.34 Mg/m³
* energy above the most stable polymorph in this dataset: 0 meV/atom
* symmetry: R-3
* energy of formation from the pure elements: -0.94 eV per formula unit

Cell lengths 8.1488, 8.1488, 8.1488 Å; angles 72.70, 72.70, 72.70 degrees
Sites, in units of the cell vectors:
Cs 0.3247 0.3247 0.3247
Cs 0.6753 0.6753 0.6753
Bi 0.8060 0.4649 0.1610
Bi 0.1610 0.8060 0.4649
Bi 0.4649 0.1610 0.8060
Bi 0.5351 0.8390 0.1940
Bi 0.8390 0.1940 0.5351
Bi 0.1940 0.5351 0.8390
Au 0.7386 0.0990 0.9814
Au 0.0990 0.9814 0.7386
Au 0.9814 0.7386 0.0990
Au 0.0186 0.2614 0.9010
Au 0.9010 0.0186 0.2614
Au 0.2614 0.9010 0.0186


[2]
The following is a PBE-GGA calculation of a relaxed structure of TbPmNd4Sm2, from the Alexandria database.

Output
* theoretical density: 7.14 Mg/m³
* symmetry: P2/m
* energy of formation from the pure elements: 0.12 eV per formula unit

Cell lengths 3.6581, 6.3156, 12.0971 Å; angles 79.72, 90.00, 90.00 degrees
Sites, in units of the cell vectors:
Tb 0.0000 0.5000 0.5000
Pm 0.5000 0.5000 0.0000
Nd 0.0000 0.7506 0.7489
Nd 0.0000 0.2494 0.2511
Nd 0.5000 0.7489 0.2515
Nd 0.5000 0.2511 0.7485
Sm 0.0000 0.0000 0.0000
Sm 0.5000 0.0000 0.5000


[3]
The following is a PBE-GGA calculation of a relaxed structure of PrHg2Pb, from the Alexandria database.

Output
* theoretical density: 9.98 Mg/m³
* symmetry: R3m
* energy of formation from the pure elements: -0.91 eV per formula unit

Cell lengths 4.8506, 4.8506, 6.7288 Å; angles 68.87, 68.87, 60.00 degrees
Sites, in units of the cell vectors:
Pr 0.6751 0.6751 0.9747
Hg 0.0841 0.0841 0.7477
Hg 0.2525 0.2525 0.2424
Pb 0.4883 0.4883 0.5352


[4]
The following is a PBE-GGA calculation of a relaxed structure of TaFePd, from the Alexandria database.

Output
* theoretical density: 12.68 Mg/m³
* energy above the most stable polymorph in this dataset: 103 meV/atom
* symmetry: P3m1
* energy of formation from the pure elements: 0.00 eV per formula unit

Cell lengths 2.7193, 4.3695, 4.3695 Å; angles 120.00, 90.00, 90.00 degrees
Last column: magnetic moment on the atom in μB.
Sites, in units of the cell vectors:
Fe 0.9649 0.0000 0.0000  1.97
Pd 0.3230 0.6667 0.3333  0.07
Ta 0.7121 0.3333 0.6667  -0.35


[5]
The following is a PBE-GGA calculation of a relaxed structure of Ti5Ga2Rh, from the Alexandria database.

Output
* theoretical density: 6.35 Mg/m³
* symmetry: I4/mmm
* energy of formation from the pure elements: -3.37 eV per formula unit

Cell lengths 4.5771, 4.5771, 6.8270 Å; angles 109.57, 109.57, 90.02 degrees
Sites, in units of the cell vectors:
Ti 0.5000 0.5000 0.0000
Ti 0.6218 0.1217 0.2433
Ti 0.1217 0.6218 0.2433
Ti 0.3782 0.8783 0.7567
Ti 0.8783 0.3782 0.7567
Ga 0.2532 0.2532 0.5064
Ga 0.7468 0.7468 0.4936
Rh 0.0000 0.0000 0.0000


[6]
The following is a PBE-GGA calculation of a relaxed structure of AcSnAs2Rh5, from the Alexandria database.

Output
* theoretical density: 9.13 Mg/m³
* symmetry: P4/mmm
* energy of formation from the pure elements: -5.26 eV per formula unit

Cell lengths 4.1923, 4.1923, 10.4557 Å; angles 90.00, 90.00, 90.00 degrees
Sites, in units of the cell vectors:
Ac 0.0000 0.0000 0.5000
Sn 0.0000 0.0000 0.0000
As 0.5000 0.5000 0.2713
As 0.5000 0.5000 0.7287
Rh 0.0000 0.5000 0.1596
Rh 0.5000 0.0000 0.1596
Rh 0.0000 0.5000 0.8404
Rh 0.5000 0.0000 0.8404
Rh 0.5000 0.5000 0.5000